VASP calculation (PBE) on crystalline Li3As at its relaxed geometry.

The structure belongs to space group C2/m (No. 12); the cell edges are 8.707, 3.043 and 4.969 Å and the angles 90.00°, 98.39° and 90.00°. Symmetry generates all atoms from Li at (0.000, 0.000, 0.000), Li at (0.236, 0.000, 0.715) and As at (0.000, 0.500, 0.500).

As for the formation energy: -0.437 eV per atom. As for the volume: 16.28 Å³/atom. The calculation puts the total magnetization at 0.00 μB/cell.